meta-GGA SCAN Si2TcH, PBEsol geometry; total moment = 0.00 μB per cell; energy = -14.074 eV/atom; Fermi-level density of states = 1.65 states/eV per cell
1.0
4.3805 0.0000 0.0000
0.0000 4.3805 0.0000
-2.1902 -2.1902 4.9746
Si H Tc
4 2 2
direct
0.6250 0.4785 0.7500
0.5215 0.8750 0.2500
0.1250 0.2715 0.7500
0.7285 0.3750 0.2500
0.5000 0.5000 0.0000
0.7500 0.2500 0.5000
0.2500 0.7500 0.5000
0.0000 0.0000 0.0000

---

meta-GGA SCAN SiTe3H, PBEsol geometry; total moment = 0.61 μB per cell; energy = -24.104 eV/atom; Fermi-level density of states = 4.15 states/eV per cell
1.0
-4.6316 -2.2073 1.0368
-0.3898 -1.5266 -4.9916
2.4073 -4.4940 1.1864
Te Si H
3 1 1
direct
0.0000 0.0000 0.5000
0.0000 0.5000 0.0000
0.5000 0.0000 0.0000
0.0000 0.0000 0.0000
0.5000 0.5000 0.5000